This record from the Alexandria database describes a relaxed structure of RbHfV2O8. The functional is GGA+U.

Cell lengths 5.7643, 5.7643, 7.9455 Å; angles 90.00, 90.00, 120.00 degrees
Each line ends with the local moment (μB).
Positions (direct):
O (0.6667, 0.3333, 0.0633)  0.17
O (0.1677, 0.8351, 0.6548)  0.13
O (0.6675, 0.8323, 0.6548)  0.13
O (0.8323, 0.1649, 0.3452)  0.13
O (0.3325, 0.1677, 0.3452)  0.13
O (0.8351, 0.6675, 0.3452)  0.13
O (0.1649, 0.3325, 0.6548)  0.13
O (0.3333, 0.6667, 0.9367)  0.17
Rb (0.0000, 0.0000, 0.0000)  0.00
Hf (0.0000, 0.0000, 0.5000)  -0.03
V (0.6667, 0.3333, 0.2737)  -0.10
V (0.3333, 0.6667, 0.7263)  -0.10

Results
**Electronic total energy**: -91.88 eV per cell
**Density**: 3.587 g/cm3
**Space group**: P-3